Y2GaBiO6: optimized geometry, PBE-GGA.

Values from the calculation:
As for the density of states at the Fermi level: 0.000 states/eV/atom. Its uncorrected formation energy is -2.259 eV/atom. Its mass density is 5.96 g/cm3. As for the total magnetic moment: 0.00 μB/cell. The total DFT energy (no corrections) is -7.22 eV/atom.

Cell: 5.329 5.329 5.418 Å, 90.00 90.00 90.00°
Atoms (fractional coordinates):
Y: 0.000 0.500 0.000
Y: 0.500 0.000 0.000
Ga: 0.000 0.000 0.611
Bi: 0.500 0.500 0.569
O: 0.000 0.000 0.267
O: 0.236 0.236 0.769
O: 0.236 0.764 0.769
O: 0.500 0.500 0.145
O: 0.764 0.236 0.769
O: 0.764 0.764 0.769